VASP calculation (GGA-PBE) on AcTb2In2 after structural relaxation.

Lattice parameters (Å, degrees): 13.155 13.155 13.155 157.22 157.22 32.43
Positions (direct):
Ac 0.126 0.126 0.000
Ac 0.874 0.874 0.000
Tb 0.250 0.750 0.500
Tb 0.433 0.433 0.000
Tb 0.567 0.567 0.000
Tb 0.750 0.250 0.500
In 0.000 0.500 0.500
In 0.316 0.316 0.000
In 0.500 0.000 0.500
In 0.684 0.684 0.000

Output
Space-group type   I4/mmm, No. 139
DOS(E_F)   8.8 states/eV/cell
E_tot   -19.89 eV/f.u.

VASP calculation (GGA-PBE) on AgAs2Pt after structural relaxation.

Lattice parameters (Å, degrees): 6.140 6.140 6.140 151.93 134.07 54.70
Positions (direct):
Ag 0.000 0.000 0.000
As 0.307 0.807 0.500
As 0.693 0.193 0.500
Pt 0.500 0.500 0.000

Output
ΔE to the lowest computed polymorph   77.0 meV per atom
Space-group type   Immm, No. 71
DOS(E_F)   1.6 states/eV/cell